## CsHfMoO6 (PBE+U)

Data for CsHfMoO6 after structural relaxation.

Geometry as POSCAR:
```
CsHfMoO6
1.0
2.757 -4.901 0.000
2.757 4.901 0.000
-0.062 0.000 6.426
Cs Hf Mo O
1 1 1 6
Direct
0.000 0.000 0.000 Cs
0.320 0.680 0.500 Hf
0.679 0.321 0.500 Mo
0.407 0.395 0.354 O
0.432 0.020 0.682 O
0.585 0.020 0.316 O
0.605 0.593 0.646 O
0.980 0.415 0.684 O
0.980 0.568 0.318 O
```

Computed properties:
size of the total moment: 1.04 μB per cell
space group: C2 (5)
VASP energy: -66.60 eV per formula unit